# ScAl4Fe

A crystal of ScAl4Fe relaxed with PBEsol (SCAN, Alexandria via LeMat-Bulk).

The structure in CIF format:
```
data_ScAl4Fe
_cell_length_a 5.1638
_cell_length_b 5.1638
_cell_length_c 5.1638
_cell_angle_alpha 60.00
_cell_angle_beta 60.00
_cell_angle_gamma 60.00
_space_group_name_H-M_alt 'P 1'
_space_group_IT_number 1
loop_
_space_group_symop_operation_xyz
'x,y,z'
loop_
_atom_site_label
_atom_site_type_symbol
_atom_site_fract_x
_atom_site_fract_y
_atom_site_fract_z
Sc1 Sc 0.0000 0.0000 0.0000
Al1 Al 0.1247 0.6251 0.6251
Al2 Al 0.6251 0.1247 0.6251
Al3 Al 0.6251 0.6251 0.1247
Al4 Al 0.6251 0.6251 0.6251
Fe1 Fe 0.2500 0.2500 0.2500
```

Its total magnetization is 0.497 μB/atom. As for the space group: F-43m, No. 216. The value obtained for the raw total energy is -10.665 eV per atom.

***

# ScAlFe2

A crystal of ScAlFe2 relaxed with PBEsol (SCAN, Alexandria via LeMat-Bulk).

The structure in CIF format:
```
data_ScAlFe2
_cell_length_a 8.4550
_cell_length_b 8.4550
_cell_length_c 8.4550
_cell_angle_alpha 19.44
_cell_angle_beta 19.44
_cell_angle_gamma 19.44
_space_group_name_H-M_alt 'P 1'
_space_group_IT_number 1
loop_
_space_group_symop_operation_xyz
'x,y,z'
loop_
_atom_site_label
_atom_site_type_symbol
_atom_site_fract_x
_atom_site_fract_y
_atom_site_fract_z
Sc1 Sc 0.0000 0.0000 0.0000
Al1 Al 0.7684 0.7684 0.7684
Fe1 Fe 0.2491 0.2491 0.2491
Fe2 Fe 0.5131 0.5131 0.5131
```

Its total magnetization is 1.073 μB/atom. As for the space group: R3m, No. 160. The value obtained for the raw total energy is -14.464 eV per atom.

***

# ScAl8Fe4

A crystal of ScAl8Fe4 relaxed with PBEsol (SCAN, Alexandria via LeMat-Bulk).

The structure in CIF format:
```
data_ScAl8Fe4
_cell_length_a 6.5064
_cell_length_b 6.5064
_cell_length_c 6.5064
_cell_angle_alpha 98.31
_cell_angle_beta 98.31
_cell_angle_gamma 135.30
_space_group_name_H-M_alt 'P 1'
_space_group_IT_number 1
loop_
_space_group_symop_operation_xyz
'x,y,z'
loop_
_atom_site_label
_atom_site_type_symbol
_atom_site_fract_x
_atom_site_fract_y
_atom_site_fract_z
Sc1 Sc 0.0000 0.0000 0.0000
Al1 Al 0.0000 0.3352 0.3352
Al2 Al 0.0000 0.6648 0.6648
Al3 Al 0.2823 0.5000 0.7823
Al4 Al 0.3352 0.0000 0.3352
Al5 Al 0.5000 0.2823 0.7823
Al6 Al 0.5000 0.7177 0.2177
Al7 Al 0.6648 0.0000 0.6648
Al8 Al 0.7177 0.5000 0.2177
Fe1 Fe 0.0000 0.0000 0.5000
Fe2 Fe 0.0000 0.5000 0.0000
Fe3 Fe 0.5000 0.0000 0.0000
Fe4 Fe 0.5000 0.5000 0.5000
```

Its total magnetization is 0.490 μB/atom. As for the space group: I4/mmm, No. 139. The value obtained for the raw total energy is -11.906 eV per atom.

***

# ScAl2Fe

A crystal of ScAl2Fe relaxed with PBEsol (SCAN, Alexandria via LeMat-Bulk).

The structure in CIF format:
```
data_ScAl2Fe
_cell_length_a 3.0371
_cell_length_b 3.0371
_cell_length_c 6.5672
_cell_angle_alpha 90.00
_cell_angle_beta 90.00
_cell_angle_gamma 90.00
_space_group_name_H-M_alt 'P 1'
_space_group_IT_number 1
loop_
_space_group_symop_operation_xyz
'x,y,z'
loop_
_atom_site_label
_atom_site_type_symbol
_atom_site_fract_x
_atom_site_fract_y
_atom_site_fract_z
Sc1 Sc 0.0000 0.0000 0.0000
Al1 Al 0.0000 0.0000 0.5776
Al2 Al 0.5000 0.5000 0.3179
Fe1 Fe 0.5000 0.5000 0.7515
```

Its total magnetization is 0.000 μB/atom. As for the space group: P4mm, No. 99. The value obtained for the raw total energy is -12.216 eV per atom.